(1)
# HfTl2CuS4

An optimized crystal structure of HfTl2CuS4 (GGA-PBE, the Alexandria database).

Properties
Symmetry: C2, No. 5
Magnetic moment (μB per formula unit): 0.00
ΔE_f (raw) (eV/atom): -0.6528

Lattice parameters (Å, degrees): 6.4232 6.4232 7.0172 121.01 121.01 81.06
Atoms (fractional coordinates):
Hf (0.0000, 0.0000, 0.0000)
Tl (0.4828, 0.5172, 0.0000)
Tl (0.6834, 0.3166, 0.5000)
Cu (0.2537, 0.7463, 0.5000)
S (0.0131, 0.6774, 0.0830)
S (0.0929, 0.3795, 0.3992)
S (0.3226, 0.9869, 0.9170)
S (0.6205, 0.9071, 0.6008)

=====

(2)
# CaPdW

An optimized crystal structure of CaPdW (GGA-PBE, the Alexandria database).

Properties
E_form (kJ/mol of formula units): 13
Symmetry: P1, No. 1
Relative energy among the computed polymorphs (meV per atom): 62
Magnetic moment (μB per formula unit): 0.00

Lattice parameters (Å, degrees): 3.1243 4.5575 8.6779 105.17 90.58 90.00
Atoms (fractional coordinates):
Ca (0.0000, 0.0000, 0.0000)
Ca (0.0221, 0.3473, 0.6944)
Pd (0.5035, 0.5414, 0.0832)
Pd (0.5187, 0.8056, 0.6110)
W (0.0111, 0.6627, 0.3471)
W (0.5111, 0.1674, 0.3472)

=====

(3)
# Ti6AlMo

An optimized crystal structure of Ti6AlMo (GGA-PBE, the Alexandria database).

Properties
E_form (kJ/mol of formula units): -69
Symmetry: R-3m, No. 166
Relative energy among the computed polymorphs (meV per atom): 0
Magnetic moment (μB per formula unit): 4.02

Lattice parameters (Å, degrees): 7.7736 7.7736 7.7736 34.38 34.38 34.38
Atoms (fractional coordinates):
Ti (0.1202, 0.1202, 0.1202)
Ti (0.2470, 0.2470, 0.2470)
Ti (0.3701, 0.3701, 0.3701)
Ti (0.6299, 0.6299, 0.6299)
Ti (0.7530, 0.7530, 0.7530)
Ti (0.8798, 0.8798, 0.8798)
Al (0.5000, 0.5000, 0.5000)
Mo (0.0000, 0.0000, 0.0000)

=====

(4)
# NbOs2Rh

An optimized crystal structure of NbOs2Rh (GGA-PBE, the Alexandria database).

Properties
E_form (kJ/mol of formula units): 56
Symmetry: Cmcm, No. 63
Relative energy among the computed polymorphs (meV per atom): 356
Magnetic moment (μB per formula unit): 0.00

Lattice parameters (Å, degrees): 5.1125 5.1125 6.8552 90.00 90.00 133.63
Atoms (fractional coordinates):
Nb (0.0615, 0.9385, 0.7500)
Nb (0.9385, 0.0615, 0.2500)
Os (0.3802, 0.6198, 0.5592)
Os (0.3802, 0.6198, 0.9408)
Os (0.6198, 0.3802, 0.0592)
Os (0.6198, 0.3802, 0.4408)
Rh (0.2282, 0.7718, 0.2500)
Rh (0.7718, 0.2282, 0.7500)

=====

(5)
# PmEuMgZn

An optimized crystal structure of PmEuMgZn (GGA-PBE, the Alexandria database).

Properties
E_form (kJ/mol of formula units): -55
Symmetry: F-43m, No. 216
Magnetic moment (μB per formula unit): 7.20

Lattice parameters (Å, degrees): 5.3866 5.3866 5.3866 60.00 60.00 60.00
Atoms (fractional coordinates):
Pm (0.0000, 0.0000, 0.0000)
Eu (0.5000, 0.5000, 0.5000)
Mg (0.7500, 0.7500, 0.7500)
Zn (0.2500, 0.2500, 0.2500)

=====

(6)
# CeDy6Er

An optimized crystal structure of CeDy6Er (GGA-PBE, the Alexandria database).

Properties
E_form (kJ/mol of formula units): 35
Symmetry: P4/mmm, No. 123
Relative energy among the computed polymorphs (meV per atom): 0
Magnetic moment (μB per formula unit): 0.92

Lattice parameters (Å, degrees): 5.0003 5.0003 9.9881 90.00 90.00 90.00
Atoms (fractional coordinates):
Ce (0.0000, 0.0000, 0.0000)
Dy (0.0000, 0.5000, 0.2493)
Dy (0.0000, 0.5000, 0.7507)
Dy (0.5000, 0.0000, 0.2493)
Dy (0.5000, 0.0000, 0.7507)
Dy (0.5000, 0.5000, 0.0000)
Dy (0.5000, 0.5000, 0.5000)
Er (0.0000, 0.0000, 0.5000)

=====

(7)
# K2SrAu

An optimized crystal structure of K2SrAu (GGA-PBE, the Alexandria database).

Properties
E_form (kJ/mol of formula units): -63
Symmetry: P2/m, No. 10
Relative energy among the computed polymorphs (meV per atom): 111
Magnetic moment (μB per formula unit): 0.00

Lattice parameters (Å, degrees): 6.3416 4.6756 7.5483 90.00 114.75 90.00
Atoms (fractional coordinates):
K (0.1648, 0.0000, 0.3298)
K (0.8352, 0.0000, 0.6702)
Sr (0.5000, 0.5000, 0.0000)
Au (0.0000, 0.5000, 0.0000)

=====

(8)
# Ir2C

An optimized crystal structure of Ir2C (GGA-PBE, the Alexandria database).

Properties
E_form (kJ/mol of formula units): 284
Symmetry: Cmmm, No. 65
Relative energy among the computed polymorphs (meV per atom): 423
Magnetic moment (μB per formula unit): 0.00

Lattice parameters (Å, degrees): 5.7085 5.7085 3.0088 90.00 90.00 124.19
Atoms (fractional coordinates):
Ir (0.0000, 0.0000, 0.0000)
Ir (0.2346, 0.7654, 0.5000)
Ir (0.5000, 0.5000, 0.5000)
Ir (0.7654, 0.2346, 0.5000)
C (0.3517, 0.6483, 0.0000)
C (0.6483, 0.3517, 0.0000)